PuReBC | GGA-PBE | optimized geometry

Unit cell a=3.4538 b=3.4538 c=10.7278 alpha=90.00 beta=90.00 gamma=90.00
Closest atoms and distances in Å follow each position.
Fractional coordinates of all 8 atoms:
Pu 0.0000 0.5000 0.7513  1 C 2.26
Pu 0.5000 0.0000 0.2487  1 C 2.26
Re 0.0000 0.0000 0.5000  4 Re 2.44
Re 0.5000 0.5000 0.5000  4 Re 2.44
B 0.5000 0.0000 0.8997  1 C 1.49
B 0.0000 0.5000 0.1003  1 C 1.49
C 0.5000 0.0000 0.0383  1 B 1.49
C 0.0000 0.5000 0.9617  1 B 1.49

DFT formation energy ... 1.12 eV per atom
E_tot ... -9.55 eV per atom
Space group ... P4/nmm (129)
M_tot ... 5.1 μB/f.u.

PuTa2BC4 | GGA-PBE | optimized geometry

Unit cell a=3.1555 b=5.5380 c=10.5718 alpha=90.00 beta=90.00 gamma=106.55
Closest atoms and distances in Å follow each position.
Fractional coordinates of all 16 atoms:
C 0.2660 0.5320 0.1258  1 B 1.64
C 0.4190 0.8379 0.7500  2 B 1.86
C 0.7340 0.4680 0.6258  1 B 1.64
C 0.0000 0.0000 0.5000  4 Ta 2.18
C 0.5810 0.1621 0.2500  2 B 1.86
C 0.2660 0.5320 0.3742  1 B 1.64
C 0.0000 0.0000 0.0000  4 Ta 2.18
C 0.7340 0.4680 0.8742  1 B 1.64
B 0.1735 0.3471 0.2500  2 C 1.64
B 0.8265 0.6529 0.7500  2 C 1.64
Pu 0.9053 0.8107 0.2500  6 C 2.44-2.53
Pu 0.0947 0.1893 0.7500  6 C 2.44-2.53
Ta 0.3665 0.7331 0.9519  6 C 2.13-2.27
Ta 0.3665 0.7331 0.5481  6 C 2.13-2.27
Ta 0.6335 0.2669 0.0481  6 C 2.13-2.27
Ta 0.6335 0.2669 0.4519  6 C 2.13-2.27

DFT formation energy ... -0.23 eV per atom
E_tot ... -10.44 eV per atom
Space group ... Cmcm (63)
M_tot ... 4.5 μB/f.u.

PuTcBC | GGA-PBE | optimized geometry

Unit cell a=3.6108 b=3.6108 c=8.0649 alpha=90.00 beta=90.00 gamma=90.00
Closest atoms and distances in Å follow each position.
Fractional coordinates of all 8 atoms:
Pu 0.5000 0.0000 0.1634  5 C 2.33-2.57
Pu 0.0000 0.5000 0.8366  5 C 2.33-2.57
Tc 0.5000 0.5000 0.5000  4 B 2.34, 4 Tc 2.55
Tc 0.0000 0.0000 0.5000  4 B 2.34, 4 Tc 2.55
B 0.5000 0.0000 0.6850  1 C 1.52
B 0.0000 0.5000 0.3150  1 C 1.52
C 0.5000 0.0000 0.8741  1 B 1.52
C 0.0000 0.5000 0.1259  1 B 1.52

DFT formation energy ... -0.21 eV per atom
E_tot ... -10.36 eV per atom
Space group ... P4/nmm (129)
M_tot ... 4.1 μB/f.u.

RbBC | GGA-PBE | optimized geometry

Unit cell a=5.6296 b=4.7746 c=5.3702 alpha=90.00 beta=90.00 gamma=90.00
Closest atoms and distances in Å follow each position.
Fractional coordinates of all 6 atoms:
B 0.5000 0.5000 0.5000  2 C 1.42
B 0.0000 0.5000 0.5000  2 C 1.42
Rb 0.2500 0.0000 0.1984  2 C 3.00, 4 B 3.21
Rb 0.7500 0.0000 0.8016  2 C 3.00, 4 B 3.21
C 0.2500 0.5000 0.5379  2 B 1.42
C 0.7500 0.5000 0.4621  2 B 1.42

DFT formation energy ... 0.14 eV per atom
E_tot ... -5.48 eV per atom
Space group ... Pmma (51)
M_tot ... 0.0 μB/f.u.

RbBC | GGA-PBE | optimized geometry

Unit cell a=18.3135 b=3.9091 c=9.6308 alpha=78.29 beta=18.05 gamma=90.00
Closest atoms and distances in Å follow each position.
Fractional coordinates of all 6 atoms:
C 0.0000 0.1777 0.0000  1 C 1.39, 2 B 1.53
C 0.0000 0.8223 0.0000  1 C 1.39, 2 B 1.53
B 0.9529 0.5000 0.0000  2 C 1.53
B 0.0471 0.5000 0.0000  2 C 1.53
Rb 0.3800 0.5000 0.0000  4 C 3.22, 4 B 3.27
Rb 0.6200 0.5000 0.0000  4 C 3.22, 4 B 3.27

DFT formation energy ... 0.29 eV per atom
E_tot ... -5.33 eV per atom
Space group ... Immm (71)
M_tot ... 0.0 μB/f.u.

RbBC | GGA-PBE | optimized geometry

Unit cell a=6.9002 b=2.9659 c=9.6648 alpha=90.00 beta=90.00 gamma=90.00
Closest atoms and distances in Å follow each position.
Fractional coordinates of all 12 atoms:
Rb 0.4836 0.2500 0.8194  2 Rb 2.97, 3 C 3.08-3.19, 2 B 3.10-3.22
Rb 0.9836 0.2500 0.6806  2 Rb 2.97, 3 C 3.08-3.19, 2 B 3.10-3.22
Rb 0.5164 0.7500 0.1806  2 Rb 2.97, 3 C 3.08-3.19, 2 B 3.10-3.22
Rb 0.0164 0.7500 0.3194  2 Rb 2.97, 3 C 3.08-3.19, 2 B 3.10-3.22
B 0.5855 0.2500 0.5075  3 C 1.58-1.71
B 0.0855 0.2500 0.9925  3 C 1.58-1.71
B 0.9145 0.7500 0.0075  3 C 1.58-1.71
B 0.4145 0.7500 0.4925  3 C 1.58-1.71
C 0.1575 0.7500 0.9729  3 B 1.58-1.71
C 0.6575 0.7500 0.5271  3 B 1.58-1.71
C 0.3425 0.2500 0.4729  3 B 1.58-1.71
C 0.8425 0.2500 0.0271  3 B 1.58-1.71

DFT formation energy ... 0.40 eV per atom
E_tot ... -5.22 eV per atom
Space group ... Pnma (62)
M_tot ... 0.0 μB/f.u.

RbBC | GGA-PBE | optimized geometry

Unit cell a=5.1669 b=2.9185 c=5.2345 alpha=90.00 beta=90.00 gamma=90.00
Closest atoms and distances in Å follow each position.
Fractional coordinates of all 6 atoms:
B 0.6868 0.0000 0.0000  2 C 1.68
B 0.3132 0.0000 0.0000  2 C 1.68
C 0.1514 0.5000 0.0000  1 C 1.56, 2 B 1.68
C 0.8486 0.5000 0.0000  1 C 1.56, 2 B 1.68
Rb 0.5000 0.5000 0.5000  6 Rb 2.92-2.97, 8 B 3.15, 4 C 3.18
Rb 0.0000 0.0000 0.5000  6 Rb 2.92-2.97, 4 B 3.08, 8 C 3.10

DFT formation energy ... 0.58 eV per atom
E_tot ... -5.04 eV per atom
Space group ... Pmmm (47)
M_tot ... 0.0 μB/f.u.

RbBC | GGA-PBE | optimized geometry

Unit cell a=4.9736 b=4.9736 c=7.0258 alpha=90.00 beta=90.00 gamma=120.00
Closest atoms and distances in Å follow each position.
Fractional coordinates of all 6 atoms:
C 0.0000 0.0000 0.9088  1 C 1.28
C 0.0000 0.0000 0.0912  1 C 1.28
Rb 0.6667 0.3333 0.0000  6 C 2.94, 6 B 3.00
Rb 0.6667 0.3333 0.5000  2 Rb 3.51, 6 B 3.89
B 0.3333 0.6667 0.1256  1 B 1.77
B 0.3333 0.6667 0.8744  1 B 1.77

DFT formation energy ... 1.73 eV per atom
E_tot ... -3.90 eV per atom
Space group ... P-6m2 (187)
M_tot ... 0.0 μB/f.u.

Please write out number 3 again, unchanged.
PuTcBC | GGA-PBE | optimized geometry

Unit cell a=3.6108 b=3.6108 c=8.0649 alpha=90.00 beta=90.00 gamma=90.00
Closest atoms and distances in Å follow each position.
Fractional coordinates of all 8 atoms:
Pu 0.5000 0.0000 0.1634  5 C 2.33-2.57
Pu 0.0000 0.5000 0.8366  5 C 2.33-2.57
Tc 0.5000 0.5000 0.5000  4 B 2.34, 4 Tc 2.55
Tc 0.0000 0.0000 0.5000  4 B 2.34, 4 Tc 2.55
B 0.5000 0.0000 0.6850  1 C 1.52
B 0.0000 0.5000 0.3150  1 C 1.52
C 0.5000 0.0000 0.8741  1 B 1.52
C 0.0000 0.5000 0.1259  1 B 1.52

DFT formation energy ... -0.21 eV per atom
E_tot ... -10.36 eV per atom
Space group ... P4/nmm (129)
M_tot ... 4.1 μB/f.u.